A plane-wave DFT calculation with PBE was carried out for an optimized crystal structure of In2Ga2Hg.

space group = No. 65
formation energy from the elements = 42 meV/atom

a = 7.351 Å, b = 7.351 Å, c = 4.063 Å
α = 90.00°, β = 90.00°, γ = 146.49°
Element x y z (fractional)
In (0.121, 0.879, 0.000)
In (0.879, 0.121, 0.000)
Ga (0.304, 0.696, 0.500)
Ga (0.696, 0.304, 0.500)
Hg (0.500, 0.500, 0.500)

=====

A plane-wave DFT calculation with PBE was carried out for an optimized crystal structure of BaLi2Mg.

space group = No. 6
formation energy from the elements = 30 meV/atom

a = 3.896 Å, b = 3.903 Å, c = 8.141 Å
α = 90.00°, β = 90.10°, γ = 90.00°
Element x y z (fractional)
Ba (0.000, 0.000, 0.000)
Li (0.000, 0.000, 0.507)
Li (0.502, 0.500, 0.326)
Mg (0.499, 0.500, 0.690)

=====

A plane-wave DFT calculation with PBE was carried out for an optimized crystal structure of MnP3Se.

E_form (uncorrected) = 0.42 eV/atom
space group = No. 221

a = 4.379 Å, b = 4.379 Å, c = 4.379 Å
α = 90.00°, β = 90.00°, γ = 90.00°
Element x y z (fractional)
Mn (0.000, 0.000, 0.000)
P (0.000, 0.000, 0.500)
P (0.000, 0.500, 0.000)
P (0.500, 0.000, 0.000)
Se (0.500, 0.500, 0.500)

=====

A plane-wave DFT calculation with PBE was carried out for an optimized crystal structure of GdTmAlTl.

space group = No. 216
formation energy from the elements = -327 meV/atom

a = 5.238 Å, b = 5.238 Å, c = 5.238 Å
α = 60.00°, β = 60.00°, γ = 60.00°
Element x y z (fractional)
Gd (0.000, 0.000, 0.000)
Tm (0.500, 0.500, 0.500)
Al (0.750, 0.750, 0.750)
Tl (0.250, 0.250, 0.250)